Crystalline Zn2CrSi at its relaxed geometry. Source: Alexandria, functional PBE-GGA.

As for the uncorrected formation energy: 295.4 meV per atom. For the magnetic moment, the calculation gives 0.00 μB/cell. As for the density of states at the Fermi level: 3.37 states/eV/f.u. As for the total energy: -4.103 eV/atom.

It has space group P4/mmm (No. 123), with a = 2.566 Å, b = 2.566 Å, c = 8.532 Å, α = 90.00°, β = 90.00° and γ = 90.00°. The inequivalent atoms are Zn at (0.000, 0.000, 0.229), Cr at (0.500, 0.500, 0.000) and Si at (0.500, 0.500, 0.500).